# CdNiAs2O6

An optimized crystal structure of CdNiAs2O6 (GGA+U, Alexandria).

The value obtained for the total DFT energy (no corrections) is -210.68 eV for the cell shown. Its mass density is 4.788 Mg/m³.

The space group is C2/c (No. 15) and the conventional cell measures 11.8192, 8.5253 and 6.8894 Å, with angles of 90.00, 123.58 and 90.00 degrees. Symmetry generates all atoms from Cd at (0.0000, 0.2255, 0.2500), Ni at (0.0000, 0.2126, 0.7500), As at (0.2171, 0.4390, 0.2030), O at (0.1121, 0.1225, 0.6429), O at (0.1216, 0.2626, 0.0858) and O at (0.1754, 0.4554, 0.4385).